(1)
The following is a DFT calculation (GGA+U) of a geometry-optimized NaFe2O4 structure.

Cell lengths 6.126, 6.126, 6.126 Å; angles 60.00, 60.00, 60.00 degrees
Positions (direct):
Na  0.125  0.125  0.125
Na  0.875  0.875  0.875
Fe  0.000  0.500  0.500
Fe  0.500  0.000  0.500
Fe  0.500  0.500  0.000
Fe  0.500  0.500  0.500
O  0.269  0.269  0.269
O  0.269  0.269  0.693
O  0.269  0.693  0.269
O  0.307  0.731  0.731
O  0.693  0.269  0.269
O  0.731  0.307  0.731
O  0.731  0.731  0.307
O  0.731  0.731  0.731

Summary:
relative energy among the computed polymorphs = 287 meV/atom
total energy = -79.9 eV per cell
total magnetic moment = 5.00 μB/f.u.



(2)
The following is a DFT calculation (GGA+U) of a geometry-optimized MnOsNO2 structure.

Cell lengths 3.368, 3.368, 5.639 Å; angles 90.00, 90.00, 90.00 degrees
Positions (direct):
Mn  0.000  0.000  0.000
Os  0.000  0.000  0.500
N  0.500  0.500  0.500
O  0.000  0.500  0.000
O  0.500  0.000  0.000

Summary:
total energy = -32.1 eV per cell
total magnetic moment = 1.60 μB/f.u.